A relaxed structure of Tb3Pm6Dy2Ho. Source: Alexandria, functional PBE.

Unit cell a=6.2452 b=10.8145 c=11.8650 alpha=90.00 beta=100.07 gamma=90.00
Last column: nearest neighbours and their distance in Å.
Space group C2/m (No. 12)
Asymmetric unit:
Tb: 0.0000 0.0000 0.0000 (multiplicity 2)  6 Pm 3.59, 6 Tb 3.60-3.61
Tb: 0.0000 0.3333 0.0000 (multiplicity 4)  6 Pm 3.59, 6 Tb 3.60-3.61
Pm: 0.2504 0.0000 0.7495 (multiplicity 4)  1 Ho 3.58, 2 Dy 3.58, 3 Tb 3.59, 6 Pm 3.60-3.61
Pm: 0.2498 0.1666 0.2508 (multiplicity 8)  2 Dy 3.58, 1 Ho 3.58, 3 Tb 3.59, 6 Pm 3.60-3.61
Dy: 0.0000 0.1666 0.5000 (multiplicity 4)  6 Pm 3.58, 3 Dy 3.60-3.61, 3 Ho 3.61
Ho: 0.0000 0.5000 0.5000 (multiplicity 2)  6 Pm 3.58, 6 Dy 3.61

Summary:
formation energy from the elements	12	meV/atom
theoretical density	7.73	g cm⁻³
uncorrected energy	-112.07	eV for the cell shown


A relaxed structure of Tb3Pm6DyHo2. Source: Alexandria, functional PBE.

Unit cell a=6.2444 b=10.8122 c=11.8571 alpha=90.00 beta=100.07 gamma=90.00
Last column: nearest neighbours and their distance in Å.
Space group C2/m (No. 12)
Asymmetric unit:
Tb: 0.0000 0.0000 0.0000 (multiplicity 2)  6 Pm 3.59, 6 Tb 3.60-3.61
Tb: 0.0000 0.3333 0.0000 (multiplicity 4)  6 Pm 3.59, 6 Tb 3.60-3.61
Pm: 0.2501 0.0000 0.7492 (multiplicity 4)  1 Dy 3.57, 2 Ho 3.58, 3 Tb 3.59, 6 Pm 3.60-3.61
Pm: 0.2498 0.1667 0.2509 (multiplicity 8)  2 Ho 3.57-3.58, 1 Dy 3.58, 3 Tb 3.59, 6 Pm 3.60-3.61
Dy: 0.0000 0.5000 0.5000 (multiplicity 2)  6 Pm 3.57-3.58, 6 Ho 3.60
Ho: 0.0000 0.1666 0.5000 (multiplicity 4)  6 Pm 3.57-3.58, 3 Ho 3.60-3.61, 3 Dy 3.60

Summary:
formation energy from the elements	12	meV/atom
theoretical density	7.75	g cm⁻³
uncorrected energy	-112.02	eV for the cell shown


A relaxed structure of TbPm6Dy2Ho. Source: Alexandria, functional PBE.

Unit cell a=9.2117 b=15.2658 c=9.6304 alpha=90.00 beta=97.47 gamma=90.00
Last column: nearest neighbours and their distance in Å.
Space group C2/c (No. 15)
Asymmetric unit:
Tb: 0.0000 0.0267 0.2500 (multiplicity 4)  4 Dy 3.42-3.44, 4 Pm 3.58-3.67
Pm: 0.0609 0.1794 0.9452 (multiplicity 8)  7 Pm 3.44-3.78, 1 Dy 3.49, 2 Tb 3.67-3.85
Pm: 0.0997 0.3916 0.1185 (multiplicity 8)  4 Pm 3.26-3.64, 3 Dy 3.29-3.47, 2 Ho 3.45-3.56
Pm: 0.2109 0.2233 0.3131 (multiplicity 8)  2 Pm 3.26-3.63, 1 Dy 3.46, 1 Ho 3.47, 1 Tb 3.58
Dy: 0.2497 0.0497 0.5456 (multiplicity 8)  5 Pm 3.29-3.49, 2 Tb 3.42-3.44, 1 Ho 3.54
Ho: 0.0000 0.4101 0.7500 (multiplicity 4)  6 Pm 3.45-3.56, 2 Dy 3.54

Summary:
formation energy from the elements	117	meV/atom
theoretical density	7.51	g cm⁻³
uncorrected energy	-183.00	eV for the cell shown


A relaxed structure of Tb2Pm6Dy3Ho. Source: Alexandria, functional PBE.

Unit cell a=6.2425 b=10.8104 c=11.8572 alpha=90.00 beta=100.08 gamma=90.00
Last column: nearest neighbours and their distance in Å.
Space group C2/m (No. 12)
Asymmetric unit:
Tb: 0.0000 0.1667 0.0000 (multiplicity 4)  6 Pm 3.58-3.59, 3 Ho 3.60, 3 Tb 3.60
Pm: 0.2493 0.5000 0.7498 (multiplicity 4)  3 Dy 3.58, 1 Ho 3.58, 2 Tb 3.59, 6 Pm 3.60
Pm: 0.2496 0.1666 0.7499 (multiplicity 8)  3 Dy 3.58, 2 Tb 3.58-3.59, 1 Ho 3.59, 6 Pm 3.60-3.61
Dy: 0.0000 0.0000 0.5000 (multiplicity 2)  6 Pm 3.58, 6 Dy 3.60
Dy: 0.0000 0.3334 0.5000 (multiplicity 4)  6 Pm 3.58, 6 Dy 3.60
Ho: 0.0000 0.5000 0.0000 (multiplicity 2)  6 Pm 3.58-3.59, 6 Tb 3.60

Summary:
formation energy from the elements	12	meV/atom
theoretical density	7.76	g cm⁻³
uncorrected energy	-112.01	eV for the cell shown


A relaxed structure of TbPm2Dy6Ho. Source: Alexandria, functional PBE.

Unit cell a=9.0190 b=15.0481 c=9.6688 alpha=90.00 beta=98.76 gamma=90.00
Last column: nearest neighbours and their distance in Å.
Space group C2/c (No. 15)
Asymmetric unit:
Tb: 0.0000 0.0192 0.2500 (multiplicity 4)  4 Pm 3.35-3.38, 4 Dy 3.58-3.65
Pm: 0.2461 0.0517 0.5425 (multiplicity 8)  5 Dy 3.25-3.51, 2 Tb 3.35-3.38, 1 Ho 3.55
Dy: 0.0647 0.1893 0.9431 (multiplicity 8)  7 Dy 3.40-3.74, 1 Pm 3.51, 1 Tb 3.65, 1 Ho 3.78
Dy: 0.1023 0.3944 0.1199 (multiplicity 8)  4 Dy 3.23-3.52, 3 Pm 3.25-3.44, 2 Ho 3.42-3.56
Dy: 0.2024 0.2232 0.3133 (multiplicity 8)  2 Dy 3.23-3.57, 1 Pm 3.39, 1 Ho 3.46, 1 Tb 3.58
Ho: 0.0000 0.4074 0.7500 (multiplicity 4)  8 Dy 3.42-3.78, 2 Pm 3.55

Summary:
formation energy from the elements	117	meV/atom
theoretical density	8.14	g cm⁻³
uncorrected energy	-180.62	eV for the cell shown


A relaxed structure of Tb3PmDy6Ho2. Source: Alexandria, functional PBE.

Unit cell a=6.1533 b=10.6465 c=11.7732 alpha=90.00 beta=99.96 gamma=90.00
Last column: nearest neighbours and their distance in Å.
Space group C2/m (No. 12)
Asymmetric unit:
Tb: 0.0000 0.0000 0.0000 (multiplicity 2)  6 Dy 3.55, 6 Tb 3.55
Tb: 0.0000 0.3332 0.0000 (multiplicity 4)  6 Dy 3.54-3.55, 6 Tb 3.55
Pm: 0.0000 0.5000 0.5000 (multiplicity 2)  6 Ho 3.55, 6 Dy 3.55-3.56
Dy: 0.2493 0.1669 0.2496 (multiplicity 8)  3 Tb 3.54-3.55, 6 Dy 3.55-3.56, 2 Ho 3.55, 1 Pm 3.56
Dy: 0.2498 0.0000 0.7503 (multiplicity 4)  3 Tb 3.55, 6 Dy 3.55-3.56, 1 Pm 3.55, 2 Ho 3.55
Ho: 0.0000 0.1667 0.5000 (multiplicity 4)  3 Pm 3.55, 6 Dy 3.55, 3 Ho 3.55

Summary:
formation energy from the elements	15	meV/atom
theoretical density	8.42	g cm⁻³
uncorrected energy	-110.45	eV for the cell shown


A relaxed structure of Tb2PmDyHo6. Source: Alexandria, functional PBE.

Unit cell a=9.0301 b=14.9945 c=9.5437 alpha=90.00 beta=97.64 gamma=90.00
Last column: nearest neighbours and their distance in Å.
Space group C2/c (No. 15)
Asymmetric unit:
Tb: 0.2493 0.0523 0.0449 (multiplicity 8)  6 Ho 3.26-3.59, 2 Pm 3.37-3.39, 1 Dy 3.52
Pm: 0.0000 0.0235 0.7500 (multiplicity 4)  4 Tb 3.37-3.39, 4 Ho 3.56-3.67
Dy: 0.0000 0.4089 0.2500 (multiplicity 4)  8 Ho 3.40-3.80, 2 Tb 3.52
Ho: 0.0642 0.1877 0.4430 (multiplicity 8)  7 Ho 3.38-3.71, 1 Tb 3.50, 1 Pm 3.67
Ho: 0.1003 0.3922 0.6192 (multiplicity 8)  4 Ho 3.20-3.49, 3 Tb 3.26-3.41, 2 Dy 3.40-3.53
Ho: 0.2058 0.2254 0.8164 (multiplicity 8)  3 Ho 3.20-3.57, 1 Tb 3.38, 1 Dy 3.46, 1 Pm 3.56

Summary:
formation energy from the elements	120	meV/atom
theoretical density	8.38	g cm⁻³
uncorrected energy	-179.51	eV for the cell shown


A relaxed structure of TbPm4Dy2Ho. Source: Alexandria, functional PBE.

Unit cell a=5.0876 b=5.1068 c=10.1085 alpha=90.00 beta=90.05 gamma=90.00
Last column: nearest neighbours and their distance in Å.
Space group P2/m (No. 10)
Asymmetric unit:
Tb: 0.0000 0.0000 0.0000 (multiplicity 1)  8 Pm 3.59-3.60, 4 Dy 3.60
Pm: 0.0004 0.5000 0.2505 (multiplicity 2)  2 Ho 3.58, 4 Dy 3.59, 2 Tb 3.60, 4 Pm 3.60
Pm: 0.5004 0.0000 0.2506 (multiplicity 2)  4 Dy 3.58-3.60, 2 Ho 3.59, 2 Tb 3.59, 4 Pm 3.60
Dy: 0.0000 0.0000 0.5000 (multiplicity 1)  8 Pm 3.58-3.59, 4 Ho 3.60
Dy: 0.5000 0.5000 0.0000 (multiplicity 1)  8 Pm 3.59-3.60, 4 Tb 3.60
Ho: 0.5000 0.5000 0.5000 (multiplicity 1)  8 Pm 3.58-3.59, 4 Dy 3.60

Summary:
formation energy from the elements	15	meV/atom
theoretical density	7.77	g cm⁻³
uncorrected energy	-37.29	eV for the cell shown